A relaxed Mn2NbWO crystal, computed with GGA+U.

Lattice parameters (Å, degrees): 5.077 5.077 4.920 90.00 90.00 90.00
Atoms (fractional coordinates):
Mn 0.000 0.500 0.000
Mn 0.500 0.000 0.000
Nb 0.000 0.000 0.500
W 0.000 0.000 0.000
O 0.500 0.500 0.500

Properties
Symmetry   P4/mmm (123)
Total DFT energy (no corrections)   -5.55 eV/atom